Here is a relaxed YCoW4 crystal from the Alexandria database. Energies are from PBE.

Properties
- formation enthalpy at 0 K (meV/atom) = 537
- theoretical density (g cm⁻³) = 13.34
- crystal system = cubic

Cell: 7.6051 7.6051 7.6051 Å, 90.00 90.00 90.00°
Closest atoms and distances in Å follow each position.
Space group F-43m (No. 216)
Symmetry-distinct sites (fractional):
Y1 0.0000 0.0000 0.0000 [4 per cell]  12 W 3.15, 4 Co 3.29
Co1 0.2500 0.2500 0.7500 [4 per cell]  12 W 3.15, 4 Y 3.29
W1 0.1252 0.1252 0.3748 [16 per cell]  6 W 2.69